1.
The following is a PBE calculation of a relaxed Pr6Dy12Th crystal, from Alexandria.

Calculated values
Electronic total energy   -4.58 eV per atom
Total magnetic moment   0.0 Bohr magnetons per cell
Crystal system   trigonal
Calculated formation energy   21.6 kJ/mol of atoms

abc: 8.7924 8.7924 8.7924
angles: 99.30 99.30 99.30
With the nearest neighbours (Å) after each atom.
Positions (direct):
Pr 0.1582 0.5994 0.5994  1 Pr 3.12, 2 Dy 3.46, 1 Th 3.47
Pr 0.4006 0.4006 0.8418  1 Pr 3.12, 2 Dy 3.46, 1 Th 3.47
Pr 0.4006 0.8418 0.4006  1 Pr 3.12, 2 Dy 3.46, 1 Th 3.47
Pr 0.5994 0.1582 0.5994  1 Pr 3.12, 2 Dy 3.46, 1 Th 3.47
Pr 0.5994 0.5994 0.1582  1 Pr 3.12, 2 Dy 3.46, 1 Th 3.47
Pr 0.8418 0.4006 0.4006  1 Pr 3.12, 2 Dy 3.46, 1 Th 3.47
Dy 0.0000 0.2548 0.7452  6 Dy 3.38-3.57, 4 Pr 3.46-3.64
Dy 0.0000 0.7452 0.2548  6 Dy 3.38-3.57, 4 Pr 3.46-3.64
Dy 0.1504 0.1504 0.4221  6 Dy 3.38-3.64, 2 Pr 3.76
Dy 0.1504 0.4221 0.1504  6 Dy 3.38-3.64, 2 Pr 3.76
Dy 0.2548 0.0000 0.7452  6 Dy 3.38-3.57, 4 Pr 3.46-3.64
Dy 0.2548 0.7452 0.0000  6 Dy 3.38-3.57, 4 Pr 3.46-3.64
Dy 0.4221 0.1504 0.1504  6 Dy 3.38-3.64, 2 Pr 3.76
Dy 0.5779 0.8496 0.8496  6 Dy 3.38-3.64, 2 Pr 3.76
Dy 0.7452 0.0000 0.2548  6 Dy 3.38-3.57, 4 Pr 3.46-3.64
Dy 0.7452 0.2548 0.0000  6 Dy 3.38-3.57, 4 Pr 3.46-3.64
Dy 0.8496 0.5779 0.8496  6 Dy 3.38-3.64, 2 Pr 3.76
Dy 0.8496 0.8496 0.5779  6 Dy 3.38-3.64, 2 Pr 3.76
Th 0.5000 0.5000 0.5000  6 Pr 3.47, 6 Dy 3.87

2.
The following is a PBE calculation of a relaxed Ac2PaHg crystal, from Alexandria.

Calculated values
Electronic total energy   -4.38 eV per atom
Total magnetic moment   1.2 Bohr magnetons per cell
Crystal system   tetragonal
ΔE to the lowest computed polymorph   78 meV/atom
Calculated formation energy   11.6 kJ/mol of atoms

abc: 5.9938 5.9938 3.6441
angles: 90.00 90.00 90.00
With the nearest neighbours (Å) after each atom.
Positions (direct):
Ac 0.0000 0.5000 0.0000  4 Hg 3.51, 4 Pa 3.51, 2 Ac 3.64
Ac 0.5000 0.0000 0.0000  4 Hg 3.51, 4 Pa 3.51, 2 Ac 3.64
Pa 0.0000 0.0000 0.5000  8 Ac 3.51, 2 Pa 3.64
Hg 0.5000 0.5000 0.5000  8 Ac 3.51, 2 Hg 3.64

3.
The following is a PBE calculation of a relaxed Fe2ReNi crystal, from Alexandria.

Calculated values
Electronic total energy   -8.75 eV per atom
Total magnetic moment   2.9 Bohr magnetons per cell
Crystal system   tetragonal
Calculated formation energy   3.5 kJ/mol of atoms

abc: 4.4185 4.4185 4.4185
angles: 131.44 131.44 71.11
With the nearest neighbours (Å) after each atom.
Positions (direct):
Fe 0.0000 0.0000 0.0000  4 Fe 2.56, 4 Ni 2.56, 4 Re 2.57
Fe 0.7500 0.2500 0.5000  4 Fe 2.56, 4 Re 2.56, 4 Ni 2.57
Re 0.5000 0.5000 0.0000  8 Fe 2.56-2.57, 4 Ni 2.56
Ni 0.2500 0.7500 0.5000  8 Fe 2.56-2.57, 4 Re 2.56